Density functional theory data (PBE) for a geometry-optimized WC2Br structure.

Calculated values
Energy relative to the lowest polymorph listed for this composition = 0 meV per atom
ρ = 6.42 g cm⁻³
SG = No. 122
Calculated volume = 148.9 Å³ per cell

Cell: 6.239 6.239 6.239 Å, 127.31 127.31 77.74°
Element x y z (fractional)
W 0.000 0.000 0.000
W 0.750 0.250 0.500
C 0.375 0.245 0.370
C 0.755 0.125 0.130
C 0.875 0.005 0.630
C 0.995 0.625 0.870
Br 0.250 0.750 0.500
Br 0.500 0.500 0.000



Density functional theory data (PBE) for a geometry-optimized WC2Br structure.

Calculated values
Energy relative to the lowest polymorph listed for this composition = 1269 meV per atom
ρ = 10.43 g cm⁻³
SG = No. 225
Calculated volume = 45.8 Å³ per cell

Cell: 4.017 4.017 4.017 Å, 60.00 60.00 60.00°
Element x y z (fractional)
W 0.000 0.000 0.000
C 0.250 0.250 0.250
C 0.750 0.750 0.750
Br 0.500 0.500 0.500



Density functional theory data (PBE) for a geometry-optimized WCBr2 structure.

Calculated values
Energy relative to the lowest polymorph listed for this composition = 0 meV per atom
ρ = 6.55 g cm⁻³
SG = No. 122
Calculated volume = 180.2 Å³ per cell

Cell: 7.025 7.025 7.025 Å, 94.58 94.58 147.18°
Element x y z (fractional)
W 0.000 0.000 0.000
W 0.750 0.250 0.500
C 0.250 0.750 0.500
C 0.500 0.500 0.000
Br 0.375 0.224 0.349
Br 0.776 0.125 0.151
Br 0.875 0.026 0.651
Br 0.974 0.625 0.849



Density functional theory data (PBE) for a geometry-optimized WC3Br structure.

Calculated values
Energy relative to the lowest polymorph listed for this composition = 0 meV per atom
ρ = 6.68 g cm⁻³
SG = No. 221
Calculated volume = 74.5 Å³ per cell

Cell: 4.208 4.208 4.208 Å, 90.00 90.00 90.00°
Element x y z (fractional)
W 0.000 0.000 0.000
C 0.000 0.000 0.500
C 0.000 0.500 0.000
C 0.500 0.000 0.000
Br 0.500 0.500 0.500



The lowest ρ belongs to which entry?
number 1